Computed, not measured: a relaxed KCrCuF6 crystal at the GGA+U level of DFT.

Cell: 5.3025 5.3025 5.6878 Å, 91.04 91.04 116.96°
Fractional positions:
K  0.0000  0.0000  0.0000
Cr  0.3415  0.6585  0.5000
Cu  0.6767  0.3233  0.5000
F  0.0213  0.3651  0.6677
F  0.0523  0.6459  0.2894
F  0.3541  0.9477  0.7106
F  0.3909  0.3674  0.3071
F  0.6326  0.6091  0.6929
F  0.6349  0.9787  0.3323

The calculation puts the total magnetization at 4.0 μB/f.u. As for the total energy: -5.048 eV per atom. The calculation puts the mass density at 3.13 g/cm3. As for the symmetry: C2 (5).